Record 1
Here is an optimized crystal structure of Cs2BeAu from Alexandria. Energies are from PBE.

Cell: 6.1964 6.1964 6.1964 Å, 60.00 60.00 60.00°
With the nearest neighbours (Å) after each atom.
Sites, in units of the cell vectors:
1 Cs 0.2500 0.2500 0.2500  4 Be 3.79, 4 Au 3.79
2 Cs 0.7500 0.7500 0.7500  4 Au 3.79, 4 Be 3.79
3 Be 0.0000 0.0000 0.0000  8 Cs 3.79
4 Au 0.5000 0.5000 0.5000  8 Cs 3.79

Output
The calculation puts the polymorph energy (0 for the lowest one) at 0.00 eV per formula unit. The total DFT energy (no corrections) comes out at -0.0613 hartree per atom. The calculation puts the energy of formation at 510.0 meV per atom.

---

Record 2
Here is an optimized crystal structure of CsBeCuAu2 from Alexandria. Energies are from PBE.

Cell: 4.8527 4.8527 4.7927 Å, 90.00 90.00 90.00°
With the nearest neighbours (Å) after each atom.
Sites, in units of the cell vectors:
1 Cs 0.0000 0.0000 0.0000  8 Au 3.41, 4 Cu 3.43
2 Be 0.5000 0.5000 0.5000  2 Cu 2.40, 4 Au 2.43
3 Cu 0.5000 0.5000 0.0000  2 Be 2.40
4 Au 0.0000 0.5000 0.5000  2 Be 2.43
5 Au 0.5000 0.0000 0.5000  2 Be 2.43

Output
The total DFT energy (no corrections) comes out at -0.1038 hartree per atom. The calculation puts the energy of formation at 220.7 meV per atom.

---

Record 3
Here is an optimized crystal structure of CsBeHg2Au from Alexandria. Energies are from PBE.

Cell: 5.1778 5.1778 4.9621 Å, 90.00 90.00 90.00°
With the nearest neighbours (Å) after each atom.
Sites, in units of the cell vectors:
1 Cs 0.0000 0.0000 0.0000  8 Hg 3.59, 4 Au 3.66
2 Be 0.5000 0.5000 0.5000  2 Au 2.48, 4 Hg 2.59
3 Hg 0.0000 0.5000 0.5000  2 Be 2.59
4 Hg 0.5000 0.0000 0.5000  2 Be 2.59
5 Au 0.5000 0.5000 0.0000  2 Be 2.48

Output
The total DFT energy (no corrections) comes out at -0.0626 hartree per atom. The calculation puts the energy of formation at -11.2 meV per atom.

---

Record 4
Here is an optimized crystal structure of CsKBeAu2 from Alexandria. Energies are from PBE.

Cell: 6.1104 6.1104 6.8289 Å, 90.00 90.00 90.00°
With the nearest neighbours (Å) after each atom.
Sites, in units of the cell vectors:
1 Cs 0.0000 0.0000 0.0000  2 K 3.41
2 K 0.0000 0.0000 0.5000  4 Au 3.06, 2 Cs 3.41
3 Be 0.5000 0.5000 0.0000  4 Cs 4.32, 8 Au 4.58
4 Au 0.0000 0.5000 0.5000  2 K 3.06
5 Au 0.5000 0.0000 0.5000  2 K 3.06

Output
The total DFT energy (no corrections) comes out at -0.0588 hartree per atom. The calculation puts the energy of formation at 846.6 meV per atom.

---

Record 5
Here is an optimized crystal structure of CsNa2BeAu from Alexandria. Energies are from PBE.

Cell: 6.9507 6.9507 6.3502 Å, 90.00 90.00 90.00°
With the nearest neighbours (Å) after each atom.
Sites, in units of the cell vectors:
1 Cs 0.0000 0.0000 0.0000  2 Be 3.18, 4 Na 3.48
2 Na 0.0000 0.5000 0.0000  2 Cs 3.48
3 Na 0.5000 0.0000 0.0000  2 Cs 3.48
4 Be 0.0000 0.0000 0.5000  2 Cs 3.18
5 Au 0.5000 0.5000 0.5000  8 Na 4.71, 4 Be 4.91

Output
The total DFT energy (no corrections) comes out at -0.0307 hartree per atom. The calculation puts the energy of formation at 1264.3 meV per atom.

---

Record 6
Here is an optimized crystal structure of CsBe2OsAu from Alexandria. Energies are from PBE.

Cell: 4.7630 4.7630 5.5317 Å, 90.00 90.00 90.00°
With the nearest neighbours (Å) after each atom.
Sites, in units of the cell vectors:
1 Cs 0.0000 0.0000 0.0000  4 Be 2.38
2 Be 0.0000 0.5000 0.0000  2 Cs 2.38
3 Be 0.5000 0.0000 0.0000  2 Cs 2.38
4 Os 0.5000 0.5000 0.5000  4 Au 3.37, 8 Be 3.65
5 Au 0.0000 0.0000 0.5000  2 Cs 2.77

Output
The total DFT energy (no corrections) comes out at -0.0537 hartree per atom. The calculation puts the energy of formation at 3100.6 meV per atom.

---

Record 7
Here is an optimized crystal structure of CsBe2PdAu from Alexandria. Energies are from PBE.

Cell: 4.5277 4.5277 5.5909 Å, 90.00 90.00 90.00°
With the nearest neighbours (Å) after each atom.
Sites, in units of the cell vectors:
1 Cs 0.0000 0.0000 0.0000  4 Pd 3.20
2 Be 0.0000 0.5000 0.5000  2 Au 2.26
3 Be 0.5000 0.0000 0.5000  2 Au 2.26
4 Pd 0.5000 0.5000 0.0000  2 Au 2.80
5 Au 0.5000 0.5000 0.5000  4 Be 2.26

Output
The total DFT energy (no corrections) comes out at -0.1050 hartree per atom. The calculation puts the energy of formation at 496.8 meV per atom.

---

Record 8
Here is an optimized crystal structure of BeCu4Au from Alexandria. Energies are from PBE.

Cell: 4.8020 4.8020 4.8020 Å, 60.00 60.00 60.00°
With the nearest neighbours (Å) after each atom.
Sites, in units of the cell vectors:
1 Be 0.0000 0.0000 0.0000  12 Cu 2.81, 4 Au 2.94
2 Cu 0.1236 0.6255 0.6255  6 Cu 2.39-2.41
3 Cu 0.6255 0.1236 0.6255  6 Cu 2.39-2.41
4 Cu 0.6255 0.6255 0.1236  6 Cu 2.39-2.41
5 Cu 0.6255 0.6255 0.6255  6 Cu 2.39-2.41
6 Au 0.2500 0.2500 0.2500  12 Cu 2.82, 4 Be 2.94

Output
The total DFT energy (no corrections) comes out at -0.1366 hartree per atom. The calculation puts the energy of formation at 181.7 meV per atom.

---

Record 9
Here is an optimized crystal structure of BeCu2Au4 from Alexandria. Energies are from PBE.

Cell: 6.9928 6.9928 6.3819 Å, 116.67 116.67 23.17°
With the nearest neighbours (Å) after each atom.
Sites, in units of the cell vectors:
1 Be 0.0000 0.0000 0.0000  6 Au 2.40-2.49
2 Cu 0.2379 0.2379 0.1699  6 Au 2.60-2.82, 4 Cu 2.73-2.81
3 Cu 0.7621 0.7621 0.8301  6 Au 2.60-2.82, 4 Cu 2.73-2.81
4 Au 0.0818 0.0818 0.7379  1 Be 2.40, 3 Cu 2.60-2.66
5 Au 0.3757 0.3757 0.6605  2 Be 2.49, 2 Cu 2.67
6 Au 0.6243 0.6243 0.3395  2 Be 2.49, 2 Cu 2.67
7 Au 0.9182 0.9182 0.2621  1 Be 2.40, 3 Cu 2.60-2.66

Output
The total DFT energy (no corrections) comes out at -0.1314 hartree per atom. The calculation puts the energy of formation at -0.1 meV per atom.

---

Record 10
Here is an optimized crystal structure of Be6Cu5Au from Alexandria. Energies are from PBE.

Cell: 3.8385 5.5873 6.0934 Å, 90.00 108.02 90.00°
With the nearest neighbours (Å) after each atom.
Sites, in units of the cell vectors:
1 Be 0.0000 0.2322 0.0000  6 Cu 2.32-2.48, 2 Au 2.43, 1 Be 2.59
2 Be 0.0000 0.7678 0.0000  6 Cu 2.32-2.48, 2 Au 2.43, 1 Be 2.59
3 Be 0.3292 0.2385 0.6568  7 Cu 2.31-2.41, 1 Au 2.47
4 Be 0.3292 0.7615 0.6568  7 Cu 2.31-2.41, 1 Au 2.47
5 Be 0.6708 0.2385 0.3432  7 Cu 2.31-2.41, 1 Au 2.47
6 Be 0.6708 0.7615 0.3432  7 Cu 2.31-2.41, 1 Au 2.47
7 Cu 0.1653 0.0000 0.3315  8 Be 2.31-2.34
8 Cu 0.1700 0.5000 0.3416  8 Be 2.34-2.48
9 Cu 0.5000 0.0000 0.0000  8 Be 2.32-2.39
10 Cu 0.8300 0.5000 0.6584  8 Be 2.34-2.48
11 Cu 0.8347 0.0000 0.6685  8 Be 2.31-2.34
12 Au 0.5000 0.5000 0.0000  8 Be 2.43-2.47

Output
The total DFT energy (no corrections) comes out at -0.1451 hartree per atom. The calculation puts the energy of formation at -106.3 meV per atom.

---

Record 11
Here is an optimized crystal structure of Be3Cu2Au2 from Alexandria. Energies are from PBE.

Cell: 3.6673 4.4649 6.0718 Å, 110.12 90.85 113.85°
With the nearest neighbours (Å) after each atom.
Sites, in units of the cell vectors:
1 Be 0.0000 0.0000 0.0000  4 Be 2.24-2.25, 2 Cu 2.37
2 Be 0.3528 0.7071 0.8121  2 Be 2.24-2.25, 3 Cu 2.35-2.39, 4 Au 2.42-2.49
3 Be 0.6472 0.2929 0.1879  2 Be 2.24-2.25, 3 Cu 2.35-2.39, 4 Au 2.42-2.49
4 Cu 0.1270 0.2504 0.4225  4 Be 2.35-2.39, 2 Cu 2.56-2.62
5 Cu 0.8730 0.7496 0.5775  4 Be 2.35-2.39, 2 Cu 2.56-2.62
6 Au 0.3565 0.7171 0.2143  4 Be 2.42-2.49, 1 Cu 2.66
7 Au 0.6435 0.2829 0.7857  4 Be 2.42-2.49, 1 Cu 2.66

Output
The total DFT energy (no corrections) comes out at -0.1390 hartree per atom. The calculation puts the energy of formation at -77.8 meV per atom.

---

Record 12
Here is an optimized crystal structure of Be7CuAu12 from Alexandria. Energies are from PBE.

Cell: 8.4848 8.4848 8.4848 Å, 116.04 116.04 116.04°
With the nearest neighbours (Å) after each atom.
Sites, in units of the cell vectors:
1 Be 0.0000 0.0000 0.0000  6 Au 2.46, 2 Cu 2.57
2 Be 0.1640 0.4653 0.3975  1 Cu 2.42, 7 Au 2.43-2.65
3 Be 0.3975 0.1640 0.4653  1 Cu 2.42, 7 Au 2.43-2.65
4 Be 0.4653 0.3975 0.1640  1 Cu 2.42, 7 Au 2.43-2.65
5 Be 0.5347 0.6025 0.8360  1 Cu 2.41, 7 Au 2.43-2.65
6 Be 0.6025 0.8360 0.5347  1 Cu 2.41, 7 Au 2.43-2.65
7 Be 0.8360 0.5347 0.6025  1 Cu 2.42, 7 Au 2.43-2.65
8 Cu 0.5000 0.5000 0.5000  8 Be 2.41-2.57
9 Au 0.0515 0.1189 0.3550  5 Be 2.43-2.65
10 Au 0.1189 0.3550 0.0515  5 Be 2.43-2.65
11 Au 0.1842 0.5752 0.7329  3 Be 2.44-2.57
12 Au 0.2671 0.8158 0.4248  3 Be 2.44-2.57
13 Au 0.3551 0.0515 0.1189  5 Be 2.43-2.65
14 Au 0.4248 0.2671 0.8158  3 Be 2.44-2.57
15 Au 0.5752 0.7329 0.1842  3 Be 2.44-2.57
16 Au 0.6449 0.9485 0.8811  5 Be 2.43-2.65
17 Au 0.7329 0.1842 0.5752  3 Be 2.44-2.57
18 Au 0.8158 0.4248 0.2671  3 Be 2.44-2.57
19 Au 0.8811 0.6449 0.9485  5 Be 2.43-2.65
20 Au 0.9485 0.8811 0.6449  5 Be 2.43-2.65

Output
The total DFT energy (no corrections) comes out at -0.1308 hartree per atom. The calculation puts the energy of formation at -83.4 meV per atom.